BaH2PtO4 | PBE-GGA | relaxed

## Properties
electronic total energy = -5.452 eV per atom
Fermi-level density of states = 0.33 states/eV per atom
symmetry = I222, No. 23
calculated volume = 109 Å³/cell

```
BaH2PtO4
1.0
-2.5110 2.9705 3.6631
2.5110 -2.9705 3.6631
2.5110 2.9705 -3.6631
Ba H Pt O
1 2 1 4
direct
0.0000 0.0000 0.0000 Ba
0.3334 0.8334 0.5000 H
0.6666 0.1666 0.5000 H
0.5000 0.5000 0.0000 Pt
0.2563 0.0449 0.6647 O
0.3803 0.5916 0.3353 O
0.6197 0.9551 0.2113 O
0.7437 0.4084 0.7887 O
```

BaPuH2O6 | PBE-GGA | relaxed

## Properties
electronic total energy = -7.195 eV per atom
symmetry = P1, No. 1
calculated volume = 146 Å³/cell

```
BaPuH2O6
1.0
5.2570 0.0000 0.0000
2.2076 4.8130 0.0000
0.1963 2.7922 5.7517
Ba Pu H O
1 1 2 6
direct
0.0000 0.0000 0.0000 Ba
0.5054 0.0079 0.5024 Pu
0.3628 0.4427 0.6875 H
0.6409 0.5758 0.3117 H
0.1978 0.3715 0.2996 O
0.2629 0.8391 0.6541 O
0.4752 0.2171 0.7482 O
0.5366 0.8016 0.2528 O
0.7457 0.1691 0.3352 O
0.8082 0.6605 0.7257 O
```

Ba2PuH2O6 | PBE-GGA | relaxed

## Properties
electronic total energy = -6.983 eV per atom
Fermi-level density of states = 0.55 states/eV per atom
symmetry = R-3m, No. 166
calculated volume = 147 Å³/cell

```
Ba2PuH2O6
1.0
2.7566 1.5915 5.5845
-2.7566 1.5915 5.5845
0.0000 -3.1831 5.5845
Ba Pu H O
2 1 2 6
direct
0.2288 0.2288 0.2288 Ba
0.7712 0.7712 0.7712 Ba
0.0000 0.0000 0.0000 Pu
0.4072 0.4072 0.4072 H
0.5928 0.5928 0.5928 H
0.2495 0.2495 0.7190 O
0.2495 0.7190 0.2495 O
0.2810 0.7505 0.7505 O
0.7190 0.2495 0.2495 O
0.7505 0.2810 0.7505 O
0.7505 0.7505 0.2810 O
```

Rb2Ba6Sb5HO | PBE-GGA | relaxed

## Properties
electronic total energy = -3.883 eV per atom
symmetry = I4/mcm, No. 140
calculated volume = 1141 Å³/cell

```
Rb2Ba6Sb5HO
1.0
-4.4576 4.4576 14.3504
4.4576 -4.4576 14.3504
4.4576 4.4576 -14.3504
Rb Ba Sb H O
4 12 10 2 2
direct
0.1666 0.6666 0.8331 Rb
0.3334 0.1666 0.5000 Rb
0.6666 0.8334 0.5000 Rb
0.8334 0.3334 0.1669 Rb
0.0359 0.5359 0.1844 Ba
0.0925 0.0925 0.0000 Ba
0.1485 0.9641 0.5000 Ba
0.3515 0.8515 0.8156 Ba
0.4075 0.4075 0.0000 Ba
0.4641 0.6485 0.5000 Ba
0.5359 0.3515 0.5000 Ba
0.5925 0.5925 0.0000 Ba
0.6485 0.1485 0.1844 Ba
0.8515 0.0359 0.5000 Ba
0.9075 0.9075 0.0000 Ba
0.9641 0.4641 0.8156 Ba
0.0134 0.2807 0.5000 Sb
0.2193 0.4866 0.5000 Sb
0.2500 0.2500 0.0000 Sb
0.2807 0.7807 0.2673 Sb
0.4866 0.9866 0.2673 Sb
0.5134 0.0134 0.7327 Sb
0.7193 0.2193 0.7327 Sb
0.7500 0.7500 0.0000 Sb
0.7807 0.5134 0.5000 Sb
0.9866 0.7193 0.5000 Sb
0.0000 0.0000 0.0000 H
0.5000 0.5000 0.0000 H
0.2500 0.7500 0.5000 O
0.7500 0.2500 0.5000 O
```

RbBaSiHO4 | PBE-GGA | relaxed

## Properties
electronic total energy = -6.288 eV per atom
Fermi-level density of states = 0.00 states/eV per atom
symmetry = P2_1, No. 4
calculated volume = 263 Å³/cell

```
RbBaSiHO4
1.0
5.9876 0.0000 0.0000
0.0000 8.2238 0.0000
-2.8641 0.0000 5.3439
Rb Ba Si H O
2 2 2 2 8
direct
0.1372 0.0000 0.2921 Rb
0.8628 0.5000 0.7079 Rb
0.4846 0.2533 0.9916 Ba
0.5154 0.7533 0.0084 Ba
0.1924 0.5167 0.3784 Si
0.8076 0.0167 0.6216 Si
0.0131 0.2817 0.4554 H
0.9869 0.7817 0.5446 H
0.0058 0.3430 0.3068 O
0.0081 0.1692 0.6892 O
0.3392 0.5114 0.2094 O
0.3845 0.5073 0.6809 O
0.6155 0.0073 0.3191 O
0.6608 0.0114 0.7906 O
0.9919 0.6692 0.3108 O
0.9942 0.8430 0.6932 O
```

BaRe2HO8 | PBE-GGA | relaxed

## Properties
electronic total energy = -7.426 eV per atom
Fermi-level density of states = 0.00 states/eV per atom
symmetry = C2/m, No. 12
calculated volume = 207 Å³/cell

```
BaRe2HO8
1.0
5.7341 -2.8414 0.0000
5.7341 2.8414 0.0000
-2.4744 0.0000 6.3510
Ba Re H O
1 2 1 8
direct
0.0000 0.0000 0.0000 Ba
0.2083 0.2083 0.6980 Re
0.7917 0.7917 0.3020 Re
0.5000 0.5000 0.5000 H
0.0952 0.6117 0.2137 O
0.1570 0.1570 0.4197 O
0.3724 0.3724 0.8136 O
0.3883 0.9048 0.7863 O
0.6117 0.0952 0.2137 O
0.6276 0.6276 0.1864 O
0.8430 0.8430 0.5803 O
0.9048 0.3883 0.7863 O
```

Ba2ReHO6 | PBE-GGA | relaxed

## Properties
electronic total energy = -7.079 eV per atom
Fermi-level density of states = 0.00 states/eV per atom
symmetry = Cm, No. 8
calculated volume = 154 Å³/cell

```
Ba2ReHO6
1.0
4.1257 -4.4349 0.0000
4.1257 4.4349 0.0000
-3.7742 0.0000 4.2178
Ba Re H O
2 1 1 6
direct
0.2376 0.7624 0.0000 Ba
0.7624 0.2376 0.0000 Ba
0.4925 0.4925 0.4906 Re
0.1786 0.1786 0.5689 H
0.1760 0.1760 0.3933 O
0.2471 0.6685 0.4741 O
0.2844 0.2844 0.0438 O
0.6153 0.6153 0.9081 O
0.6685 0.2471 0.4741 O
0.7390 0.7390 0.5585 O
```

Ba2HRhO | PBE-GGA | relaxed

## Properties
electronic total energy = -4.698 eV per atom
Fermi-level density of states = 0.59 states/eV per atom
symmetry = P4/mmm, No. 123
calculated volume = 119 Å³/cell

```
Ba2HRhO
1.0
5.4398 0.0000 0.0000
0.0000 5.4398 0.0000
0.0000 0.0000 4.0123
Ba H Rh O
2 1 1 1
direct
0.0000 0.5000 0.0000 Ba
0.5000 0.0000 0.0000 Ba
0.0000 0.0000 0.5000 H
0.5000 0.5000 0.5000 Rh
0.5000 0.5000 0.0000 O
```